1.
Density functional theory data (PBE-GGA) for a relaxed structure of GdPaInGa.

Cell: 5.2262 5.2262 5.2262 Å, 60.00 60.00 60.00°
Element x y z (fractional)
1 Gd 0.0000 0.0000 0.0000
2 Pa 0.5000 0.5000 0.5000
3 In 0.2500 0.2500 0.2500
4 Ga 0.7500 0.7500 0.7500

**N(E_F)**: 8.37 states/eV per cell
**SG**: No. 216
**Total energy**: -7.49 eV/atom
**Calculated volume**: 25.23 A^3/atom

2.
Density functional theory data (PBE-GGA) for a relaxed structure of Na2TlI4.

Cell: 9.3874 9.3874 9.3874 Å, 141.56 141.56 55.49°
Element x y z (fractional)
1 Na 0.1308 0.1308 0.0000
2 Na 0.8692 0.8692 0.0000
3 Tl 0.5000 0.5000 0.0000
4 I 0.0000 0.5000 0.5000
5 I 0.3113 0.3113 0.0000
6 I 0.5000 0.0000 0.5000
7 I 0.6887 0.6887 0.0000

**N(E_F)**: 1.75 states/eV per cell
**SG**: No. 139
**Calculated volume**: 45.33 A^3/atom
**Formation energy (no corrections)**: -0.71 eV/atom
**Energy above the lowest structure with this stoichiometry**: 0.110 eV/atom

3.
Density functional theory data (PBE-GGA) for a relaxed structure of RbLa2TlSe.

Cell: 5.7909 5.7909 6.2305 Å, 90.00 90.00 90.00°
Element x y z (fractional)
1 Rb 0.0000 0.0000 0.0000
2 La 0.0000 0.5000 0.5000
3 La 0.5000 0.0000 0.5000
4 Tl 0.5000 0.5000 0.0000
5 Se 0.5000 0.5000 0.5000

**N(E_F)**: 5.62 states/eV per cell
**SG**: No. 123
**Calculated volume**: 41.79 A^3/atom
**Formation energy (no corrections)**: -0.33 eV/atom

Number 3 is which compound? RbLa2TlSe

The lowest N(E_F) belongs to which entry? Na2TlI4

Which formula does entry 1 have? GdPaInGa